Entry 1:
Density functional theory data (PBE) for PuZnSnRu after structural relaxation.

Summary:
As for the spin magnetization: 4.8 μB/f.u. Its density is 11.4 g cm⁻³. The energy of formation from the pure elements comes out at -70 meV per atom. The space group is F-43m (216).

Lattice parameters (Å, degrees): 4.777 4.777 4.777 60.00 60.00 60.00
Fractional positions:
Pu 0.000 0.000 0.000
Zn 0.250 0.250 0.250
Ru 0.750 0.750 0.750
Sn 0.500 0.500 0.500


Entry 2:
Density functional theory data (PBE) for Ca2BHPd6 after structural relaxation.

Summary:
As for the spin magnetization: 0.0 μB/f.u. Its density is 8.1 g cm⁻³. The space group is C2/m (12). The calculation puts the total energy at -51.34 eV/cell.

Lattice parameters (Å, degrees): 5.956 5.959 5.914 60.29 60.30 89.46
Fractional positions:
H 0.000 0.000 0.000
Ca 0.252 0.748 0.500
B 0.500 0.500 0.000
Pd 0.755 0.755 0.493
Pd 0.245 0.245 0.004
Pd 0.245 0.245 0.507
Pd 0.246 0.754 0.000
Ca 0.748 0.252 0.500
Pd 0.755 0.755 0.996
Pd 0.754 0.246 0.000


Entry 3:
Density functional theory data (PBE) for BaFeCu2 after structural relaxation.

Summary:
As for the spin magnetization: 2.6 μB/f.u. Its density is 6.6 g cm⁻³. The energy of formation from the pure elements comes out at 772 meV per atom. The space group is I-4m2 (119).

Lattice parameters (Å, degrees): 5.380 5.380 5.380 133.31 133.31 68.17
Fractional positions:
Cu 0.000 0.000 0.000
Fe 0.500 0.500 0.000
Cu 0.250 0.750 0.500
Ba 0.750 0.250 0.500


Please write out number 2 again, unchanged.
Density functional theory data (PBE) for Ca2BHPd6 after structural relaxation.

Summary:
As for the spin magnetization: 0.0 μB/f.u. Its density is 8.1 g cm⁻³. The space group is C2/m (12). The calculation puts the total energy at -51.34 eV/cell.

Lattice parameters (Å, degrees): 5.956 5.959 5.914 60.29 60.30 89.46
Fractional positions:
H 0.000 0.000 0.000
Ca 0.252 0.748 0.500
B 0.500 0.500 0.000
Pd 0.755 0.755 0.493
Pd 0.245 0.245 0.004
Pd 0.245 0.245 0.507
Pd 0.246 0.754 0.000
Ca 0.748 0.252 0.500
Pd 0.755 0.755 0.996
Pd 0.754 0.246 0.000